No. 1
VASP calculation (GGA-PBE) on a relaxed structure of Na4Pu3MoN8.

Computed properties:
Magnetization, μB per cell: 10.00
DOS(E_F), states/eV/f.u.: 17.9
Uncorrected formation energy, eV/f.u.: -10.8
Energy, eV/atom: -8.53
Mass density, Mg/m³: 7.75

```
Na4Pu3MoN8
1.0
3.3567 1.9380 5.6638
-3.3567 1.9380 5.6638
0.0000 -3.8760 5.6638
Na Pu Mo N
4 3 1 8
direct
0.0000 0.0000 0.0000
0.0000 0.5000 0.5000
0.5000 0.0000 0.5000
0.5000 0.5000 0.0000
0.0000 0.0000 0.5000
0.0000 0.5000 0.0000
0.5000 0.0000 0.0000
0.5000 0.5000 0.5000
0.2296 0.2296 0.2296
0.2450 0.7210 0.7210
0.2790 0.2790 0.7550
0.2790 0.7550 0.2790
0.7210 0.2450 0.7210
0.7210 0.7210 0.2450
0.7550 0.2790 0.2790
0.7704 0.7704 0.7704
```

***

No. 2
VASP calculation (GGA-PBE) on a relaxed structure of Ac3La2Tb7.

Computed properties:
ΔH_f (0 K), meV/atom: 109.6
Magnetization, μB per cell: 0.00
DOS(E_F), states/eV/f.u.: 17.2
Energy, eV/atom: -4.44
Mass density, Mg/m³: 7.89

```
Ac3La2Tb7
1.0
3.7296 0.0000 0.0000
0.0000 5.9297 0.0000
-1.8526 -1.0023 19.7109
Ac La Tb
3 2 7
direct
0.0000 0.0000 0.0000
0.3213 0.2735 0.6406
0.6787 0.7265 0.3594
0.1420 0.2156 0.2862
0.8580 0.7844 0.7138
0.0826 0.6985 0.1673
0.2284 0.2431 0.4574
0.4302 0.8022 0.8590
0.5000 0.5000 0.0000
0.5698 0.1978 0.1410
0.7716 0.7569 0.5426
0.9174 0.3015 0.8327
```

***

No. 3
VASP calculation (GGA-PBE) on a relaxed structure of ZnBN2.

Computed properties:
Magnetization, μB per cell: 0.00
DOS(E_F), states/eV/f.u.: 1.5
Relative energy among the computed polymorphs, kcal/mol of atoms: 5.39
Uncorrected formation energy, eV/f.u.: 0.2
Energy, eV/atom: -6.09
Mass density, Mg/m³: 4.01

```
ZnBN2
1.0
1.5874 0.9165 4.9411
-1.5874 0.9165 4.9411
0.0000 -1.8329 4.9411
Zn B N
1 1 2
direct
0.0000 0.0000 0.0000
0.5000 0.5000 0.5000
0.4098 0.4098 0.4098
0.5902 0.5902 0.5902
```

***

No. 4
VASP calculation (GGA-PBE) on a relaxed structure of Sc4CrBr.

Computed properties:
Magnetization, μB per cell: 4.16
DOS(E_F), states/eV/f.u.: 9.5
Uncorrected formation energy, eV/f.u.: 3.4
Energy, eV/atom: -5.54
Mass density, Mg/m³: 3.45

```
Sc4CrBr
1.0
0.0000 4.2183 4.2183
4.2183 0.0000 4.2183
4.2183 4.2183 0.0000
Sc Cr Br
4 1 1
direct
0.3773 0.3773 0.3773
0.3773 0.3773 0.8681
0.3773 0.8681 0.3773
0.8681 0.3773 0.3773
0.7500 0.7500 0.7500
0.0000 0.0000 0.0000
```